(1)
Material: DyPuCu2Ge2
Method: DFT, PBE
State: optimized geometry

Values from the calculation:
**Uncorrected energy**: -6.564 eV per atom
**Total magnetization**: 5.157 μB per formula unit
**DOS at the Fermi energy**: 12.3 states/eV/f.u.
**E_form**: -0.50 eV/atom

```
DyPuCu2Ge2
1.0
-1.597 1.231 3.727
0.877 -4.089 -0.683
6.978 1.056 2.642
Ge Cu Dy Pu
2 2 1 1
Cartesian
4.465 0.250 4.240
1.792 -2.053 1.446
1.054 -0.266 2.949
5.204 -1.536 2.738
3.489 0.528 1.321
0.000 0.000 0.000
```


(2)
Material: Dy2CuGe2Rh5
Method: DFT, PBE
State: optimized geometry

Values from the calculation:
**Uncorrected energy**: -6.607 eV per atom
**Total magnetization**: 0.000 μB per formula unit
**DOS at the Fermi energy**: 4.4 states/eV/f.u.
**E_form**: -0.68 eV/atom

```
Dy2CuGe2Rh5
1.0
-2.060 -2.329 1.677
7.271 -2.000 6.158
-3.110 7.043 5.959
Ge Rh Dy Cu
4 10 4 2
Cartesian
1.852 4.887 9.063
5.184 0.877 7.589
-1.023 4.166 4.528
2.309 0.156 3.053
1.854 3.827 11.314
2.732 0.492 7.762
-2.585 2.357 3.818
2.605 -2.164 3.917
-3.034 4.315 5.986
1.209 0.055 5.283
0.891 2.660 8.510
-0.632 2.223 6.032
0.247 -1.113 2.479
5.134 -1.601 7.808
4.353 -0.130 5.168
3.925 3.081 9.103
0.235 1.962 3.014
-0.192 5.173 6.948
2.080 2.521 6.058
0.000 0.000 0.000
```


(3)
Material: DyCuGe2Rh
Method: DFT, PBE
State: optimized geometry

Values from the calculation:
**Uncorrected energy**: -5.700 eV per atom
**Total magnetization**: 0.000 μB per formula unit
**DOS at the Fermi energy**: 2.9 states/eV/f.u.
**E_form**: -0.64 eV/atom

```
DyCuGe2Rh
1.0
4.134 0.000 0.000
0.000 4.134 0.000
-2.067 -2.067 5.134
Ge Dy Rh Cu
2 1 1 1
Cartesian
2.067 2.067 1.238
0.000 0.000 3.896
0.000 0.000 0.000
2.067 0.000 2.567
0.000 2.067 2.567
```


Question: E_form of number 2 (Dy2CuGe2Rh5)?
Answer: -0.68 eV/atom


Question: DOS at the Fermi energy of number 3 (DyCuGe2Rh)?
Answer: 2.9 states/eV/f.u.